An optimized crystal structure of TcB3Rh, computed with PBE-GGA.

a = 3.937 Å, b = 3.937 Å, c = 3.937 Å
α = 90.00°, β = 90.00°, γ = 90.00°
Space group Pm-3m (No. 221)
Asymmetric unit:
Tc: 0.000 0.000 0.000 x1
B: 0.000 0.500 0.500 x3
Rh: 0.500 0.500 0.500 x1

Computed properties:
For the density of states at the Fermi level, the calculation gives 2.13 states/eV per cell. The calculation puts the electronic total energy at -0.2264 Ha/atom. The value obtained for the polymorph energy (0 for the lowest one) is 0.76 eV per formula unit. As for the total magnetization: 1.04 μB per formula unit.